(1)
Compound: LaTbTmMg
Source: Alexandria
Functional: GGA-PBE
Structure: optimized geometry

Output
Formation enthalpy at 0 K ... -0.01 eV/atom
Energy relative to the lowest polymorph listed for this composition ... 0 meV/atom

Unit cell a=3.726 b=3.726 c=8.817 alpha=90.00 beta=90.00 gamma=90.00
Sites, in units of the cell vectors:
La1 0.000 0.000 0.000
Tb1 0.500 0.500 0.714
Tm1 0.500 0.500 0.279
Mg1 0.000 0.000 0.492


(2)
Compound: ReAg2Ir
Source: Alexandria
Functional: GGA-PBE
Structure: optimized geometry

Output
Formation enthalpy at 0 K ... 0.53 eV/atom
Energy relative to the lowest polymorph listed for this composition ... 323 meV/atom

Unit cell a=9.752 b=9.752 c=9.752 alpha=16.33 beta=16.33 gamma=16.33
Sites, in units of the cell vectors:
Re1 0.000 0.000 0.000
Ag1 0.250 0.250 0.250
Ag2 0.750 0.750 0.750
Ir1 0.500 0.500 0.500


(3)
Compound: BaHfRe2
Source: Alexandria
Functional: GGA-PBE
Structure: optimized geometry

Output
Formation enthalpy at 0 K ... 1.14 eV/atom
Energy relative to the lowest polymorph listed for this composition ... 25 meV/atom

Unit cell a=9.919 b=9.919 c=9.919 alpha=150.59 beta=150.59 gamma=42.08
Sites, in units of the cell vectors:
Ba1 0.375 0.625 0.750
Ba2 0.625 0.375 0.250
Hf1 0.125 0.875 0.250
Hf2 0.875 0.125 0.750
Re1 0.000 0.000 0.000
Re2 0.000 0.000 0.500
Re3 0.000 0.500 0.000
Re4 0.500 0.000 0.500


(4)
Compound: PrSi2Ge2Pt7
Source: Alexandria
Functional: GGA-PBE
Structure: optimized geometry

Output
Raw formation energy ... -0.537 eV per atom

Unit cell a=3.976 b=3.976 c=14.694 alpha=94.31 beta=94.31 gamma=89.73
Sites, in units of the cell vectors:
Pr1 0.000 0.000 0.000
Si1 0.425 0.425 0.747
Si2 0.575 0.575 0.253
Ge1 0.155 0.155 0.425
Ge2 0.845 0.845 0.575
Pt1 0.048 0.547 0.161
Pt2 0.403 0.403 0.588
Pt3 0.453 0.952 0.839
Pt4 0.500 0.500 0.000
Pt5 0.547 0.048 0.161
Pt6 0.597 0.597 0.412
Pt7 0.952 0.453 0.839


Sequential V output: 30.6, 16.0, 29.3, 19.2 Å³ per atom